Record 1
# AlHg2Br

A relaxed AlHg2Br crystal (GGA-PBE, the Alexandria database).

abc: 3.9774 3.9774 25.8488
angles: 90.00 90.00 120.00
Space group R3m (No. 160, hexagonal axes)
Inequivalent atoms, fractional coordinates:
Al (0.0000, 0.0000, 0.0000) (multiplicity 3)
Hg (0.0000, 0.0000, 0.2693) (multiplicity 3)
Hg (0.0000, 0.0000, 0.5171) (multiplicity 3)
Br (0.0000, 0.0000, 0.7292) (multiplicity 3)

## Properties
- Energy above the most stable polymorph in this dataset: 0.061 eV per atom
- Formation energy from raw total energies: -0.12 eV/atom

=====

Record 2
# AlHg2Br

A relaxed AlHg2Br crystal (GGA-PBE, the Alexandria database).

abc: 5.513 5.513 7.389
angles: 90.00 90.00 90.00
Space group I-4m2 (No. 119)
Inequivalent atoms, fractional coordinates:
Al (0.000, 0.000, 0.000) (multiplicity 2)
Hg (0.000, 0.000, 0.500) (multiplicity 2)
Hg (0.000, 0.500, 0.250) (multiplicity 2)
Br (0.000, 0.500, 0.750) (multiplicity 2)

## Properties
- Energy above the most stable polymorph in this dataset: 0.211 eV per atom
- Formation energy from raw total energies: 0.03 eV/atom

=====

Record 3
# AlHgBr5

A relaxed AlHgBr5 crystal (GGA-PBE, the Alexandria database).

abc: 7.217 8.708 10.286
angles: 113.10 106.44 93.14
Space group P-1 (No. 2)
Inequivalent atoms, fractional coordinates:
Al (0.073, 0.337, 0.218) (multiplicity 2)
Hg (0.500, 0.000, 0.000) (multiplicity 1)
Hg (0.500, 0.000, 0.500) (multiplicity 1)
Br (0.135, 0.626, 0.302) (multiplicity 2)
Br (0.146, 0.197, 0.000) (multiplicity 2)
Br (0.177, 0.239, 0.397) (multiplicity 2)
Br (0.290, 0.695, 0.856) (multiplicity 2)
Br (0.375, 0.083, 0.712) (multiplicity 2)

## Properties
- Formation energy from raw total energies: -0.79 eV/atom

=====

Record 4
# AlHg2Br

A relaxed AlHg2Br crystal (GGA-PBE, the Alexandria database).

abc: 4.157 4.580 5.962
angles: 90.00 90.00 90.00
Space group Pmmm (No. 47)
Inequivalent atoms, fractional coordinates:
Al (0.000, 0.000, 0.000) (multiplicity 1)
Hg (0.000, 0.500, 0.500) (multiplicity 1)
Hg (0.500, 0.000, 0.500) (multiplicity 1)
Br (0.500, 0.500, 0.000) (multiplicity 1)

## Properties
- Energy above the most stable polymorph in this dataset: 0.170 eV per atom
- Formation energy from raw total energies: -0.01 eV/atom